[1]
The following is a PBE-GGA calculation of a relaxed structure of LaZrAs2O8, from Alexandria. Values from VASP.

Summary:
**Formation energy without anion corrections**: -2.1569 eV/atom
**VASP energy**: -7.360 eV/atom
**Space group**: No. 119
**Total magnetization**: 0.00 μB/atom

Structure (Quantum ESPRESSO input):
```
&SYSTEM
  ibrav = 0, nat = 12, ntyp = 4
/
ATOMIC_SPECIES
La 138.91 La.upf
Zr 91.22 Zr.upf
As 74.92 As.upf
O 16.00 O.upf
ATOMIC_POSITIONS crystal
La 0.000 0.000 0.000
Zr 0.750 0.250 0.500
As 0.250 0.750 0.500
As 0.500 0.500 0.000
O 0.068 0.395 0.327
O 0.068 0.741 0.673
O 0.118 0.321 0.798
O 0.259 0.932 0.327
O 0.523 0.321 0.202
O 0.605 0.932 0.673
O 0.679 0.477 0.798
O 0.679 0.882 0.202
CELL_PARAMETERS angstrom
-3.599 3.599 3.252
3.599 -3.599 3.252
3.599 3.599 -3.252
```



[2]
The following is a PBE-GGA calculation of a relaxed structure of La2AsOs, from Alexandria. Values from VASP.

Summary:
**DFT formation energy**: -0.38 eV/atom
**VASP energy**: -6.810 eV/atom
**Space group**: No. 99
**Total magnetization**: 0.17 μB/atom

Structure (Quantum ESPRESSO input):
```
&SYSTEM
  ibrav = 0, nat = 4, ntyp = 3
/
ATOMIC_SPECIES
La 138.91 La.upf
As 74.92 As.upf
Os 190.23 Os.upf
ATOMIC_POSITIONS crystal
La 0.000 0.000 0.000
La 0.500 0.500 0.471
As 0.000 0.000 0.500
Os 0.500 0.500 0.001
CELL_PARAMETERS angstrom
4.299 0.000 0.000
0.000 4.299 0.000
0.000 0.000 5.983
```